# SiMoRu2 PBE relaxed
data_SiMoRu2
_chemical_formula_sum 'Si1 Mo1 Ru2'
_cell_length_a 2.746
_cell_length_b 2.746
_cell_length_c 8.388
_cell_angle_alpha 90.00
_cell_angle_beta 90.00
_cell_angle_gamma 114.51
_space_group_name_H-M_alt 'P 1'
_space_group_IT_number 1
loop_
_space_group_symop_operation_xyz
'x,y,z'
loop_
_atom_site_label
_atom_site_type_symbol
_atom_site_fract_x
_atom_site_fract_y
_atom_site_fract_z
Mo1 Mo 0.500 0.500 0.740
Ru1 Ru 0.000 0.000 0.997
Si1 Si 0.000 0.000 0.490
Ru2 Ru 0.500 0.500 0.272
# **Calculated total energy**: -34.2 eV per cell
# **M_tot**: 0.00 μB/atom
# **E_form (uncorrected)**: 0.148 eV per atom
# **DOS at the Fermi energy**: 4.3 states/eV/cell
# **Calculated volume**: 14.39 Å³/atom

# CaTaAg2 PBE relaxed
data_CaTaAg2
_chemical_formula_sum 'Ca1 Ta1 Ag2'
_cell_length_a 3.012
_cell_length_b 3.012
_cell_length_c 9.080
_cell_angle_alpha 90.00
_cell_angle_beta 90.00
_cell_angle_gamma 90.01
_space_group_name_H-M_alt 'P 1'
_space_group_IT_number 1
loop_
_space_group_symop_operation_xyz
'x,y,z'
loop_
_atom_site_label
_atom_site_type_symbol
_atom_site_fract_x
_atom_site_fract_y
_atom_site_fract_z
Ag1 Ag 0.500 0.500 0.227
Ta1 Ta 0.500 0.500 0.775
Ag2 Ag 0.000 0.000 0.003
Ca1 Ca 0.000 0.000 0.495
# **Calculated total energy**: -18.3 eV per cell
# **ΔE to the lowest computed polymorph**: 0.0605 eV/atom
# **M_tot**: 0.00 μB/atom
# **DOS at the Fermi energy**: 3.4 states/eV/cell
# **Calculated volume**: 20.59 Å³/atom
# **Formation energy**: 31.2 kJ/mol of atoms

# CsP2PbO PBE relaxed
data_CsP2PbO
_chemical_formula_sum 'Cs1 P2 Pb1 O1'
_cell_length_a 5.822
_cell_length_b 5.822
_cell_length_c 4.630
_cell_angle_alpha 90.00
_cell_angle_beta 90.00
_cell_angle_gamma 90.00
_space_group_name_H-M_alt 'P 1'
_space_group_IT_number 1
loop_
_space_group_symop_operation_xyz
'x,y,z'
loop_
_atom_site_label
_atom_site_type_symbol
_atom_site_fract_x
_atom_site_fract_y
_atom_site_fract_z
Cs1 Cs 0.000 0.000 0.000
P1 P 0.500 0.000 0.000
P2 P 0.000 0.500 0.000
O1 O 0.000 0.000 0.500
Pb1 Pb 0.500 0.500 0.500
# **Calculated total energy**: -14.2 eV per cell
# **M_tot**: 0.30 μB/atom
# **E_form (uncorrected)**: 1.224 eV per atom
# **DOS at the Fermi energy**: 3.2 states/eV/cell
# **Calculated volume**: 31.38 Å³/atom

# Sc2ReP PBE relaxed
data_Sc2ReP
_chemical_formula_sum 'Sc4 Re2 P2'
_cell_length_a 7.256
_cell_length_b 7.256
_cell_length_c 5.823
_cell_angle_alpha 51.46
_cell_angle_beta 51.46
_cell_angle_gamma 90.00
_space_group_name_H-M_alt 'P 1'
_space_group_IT_number 1
loop_
_space_group_symop_operation_xyz
'x,y,z'
loop_
_atom_site_label
_atom_site_type_symbol
_atom_site_fract_x
_atom_site_fract_y
_atom_site_fract_z
Sc1 Sc 0.143 0.625 0.250
P1 P 0.250 0.750 0.500
P2 P 0.500 0.500 0.000
Re1 Re 0.750 0.250 0.500
Sc2 Sc 0.875 0.857 0.750
Sc3 Sc 0.375 0.393 0.750
Re2 Re 0.000 0.000 0.000
Sc4 Sc 0.607 0.125 0.250
# **Calculated total energy**: -60.2 eV per cell
# **M_tot**: 0.01 μB/atom
# **DOS at the Fermi energy**: 8.8 states/eV/cell
# **Calculated volume**: 18.12 Å³/atom
# **Formation energy**: 10.1 kJ/mol of atoms

# ThScGaCo PBE relaxed
data_ThScGaCo
_chemical_formula_sum 'Th1 Sc1 Ga1 Co1'
_cell_length_a 4.888
_cell_length_b 4.888
_cell_length_c 4.888
_cell_angle_alpha 60.00
_cell_angle_beta 60.00
_cell_angle_gamma 60.00
_space_group_name_H-M_alt 'P 1'
_space_group_IT_number 1
loop_
_space_group_symop_operation_xyz
'x,y,z'
loop_
_atom_site_label
_atom_site_type_symbol
_atom_site_fract_x
_atom_site_fract_y
_atom_site_fract_z
Co1 Co 0.750 0.750 0.750
Sc1 Sc 0.500 0.500 0.500
Ga1 Ga 0.250 0.250 0.250
Th1 Th 0.000 0.000 0.000
# **Calculated total energy**: -24.9 eV per cell
# **M_tot**: 0.16 μB/atom
# **DOS at the Fermi energy**: 2.9 states/eV/cell
# **Calculated volume**: 20.64 Å³/atom
# **Formation energy**: -25.0 kJ/mol of atoms

# AcBi12Rh4 PBE relaxed
data_AcBi12Rh4
_chemical_formula_sum 'Ac1 Bi12 Rh4'
_cell_length_a 8.553
_cell_length_b 8.553
_cell_length_c 8.553
_cell_angle_alpha 109.47
_cell_angle_beta 109.47
_cell_angle_gamma 109.47
_space_group_name_H-M_alt 'P 1'
_space_group_IT_number 1
loop_
_space_group_symop_operation_xyz
'x,y,z'
loop_
_atom_site_label
_atom_site_type_symbol
_atom_site_fract_x
_atom_site_fract_y
_atom_site_fract_z
Bi1 Bi 0.160 0.336 0.496
Bi2 Bi 0.336 0.176 0.840
Bi3 Bi 0.840 0.664 0.504
Rh1 Rh 0.500 0.500 0.500
Bi4 Bi 0.664 0.504 0.840
Bi5 Bi 0.664 0.824 0.160
Bi6 Bi 0.496 0.160 0.336
Ac1 Ac 0.000 0.000 0.000
Rh2 Rh 0.000 0.000 0.500
Bi7 Bi 0.160 0.664 0.824
Rh3 Rh 0.000 0.500 0.000
Bi8 Bi 0.176 0.840 0.336
Bi9 Bi 0.840 0.336 0.176
Bi10 Bi 0.504 0.840 0.664
Bi11 Bi 0.824 0.160 0.664
Rh4 Rh 0.500 0.000 0.000
Bi12 Bi 0.336 0.496 0.160
# **Calculated total energy**: -84.5 eV per cell
# **M_tot**: 0.00 μB/atom
# **DOS at the Fermi energy**: 8.5 states/eV/cell
# **Calculated volume**: 28.34 Å³/atom
# **Formation energy**: -25.2 kJ/mol of atoms

# Na2TiSiO5 PBE relaxed
data_Na2TiSiO5
_chemical_formula_sum 'Na4 Ti2 Si2 O10'
_cell_length_a 2.954
_cell_length_b 7.261
_cell_length_c 10.742
_cell_angle_alpha 90.00
_cell_angle_beta 90.00
_cell_angle_gamma 101.74
_space_group_name_H-M_alt 'P 1'
_space_group_IT_number 1
loop_
_space_group_symop_operation_xyz
'x,y,z'
loop_
_atom_site_label
_atom_site_type_symbol
_atom_site_fract_x
_atom_site_fract_y
_atom_site_fract_z
Si1 Si 0.564 0.129 0.921
Na1 Na 0.922 0.844 0.150
Ti1 Ti 0.228 0.455 0.048
O1 O 0.712 0.424 0.160
Si2 Si 0.436 0.871 0.421
Na2 Na 0.130 0.260 0.323
O2 O 0.681 0.362 0.921
O3 O 0.655 0.309 0.509
O4 O 0.044 0.087 0.001
O5 O 0.490 0.979 0.292
O6 O 0.510 0.021 0.792
O7 O 0.345 0.691 0.009
O8 O 0.319 0.638 0.421
Ti2 Ti 0.772 0.545 0.548
O9 O 0.956 0.913 0.501
O10 O 0.288 0.576 0.660
Na3 Na 0.870 0.740 0.823
Na4 Na 0.078 0.156 0.650
# **Calculated total energy**: -126.4 eV per cell
# **M_tot**: 0.00 μB/atom
# **E_form (uncorrected)**: -2.496 eV per atom
# **DOS at the Fermi energy**: 0.0 states/eV/cell
# **Calculated volume**: 12.53 Å³/atom

# Zn2CoBi PBE relaxed
data_Zn2CoBi
_chemical_formula_sum 'Zn4 Co2 Bi2'
_cell_length_a 4.086
_cell_length_b 4.086
_cell_length_c 9.579
_cell_angle_alpha 77.68
_cell_angle_beta 77.68
_cell_angle_gamma 90.00
_space_group_name_H-M_alt 'P 1'
_space_group_IT_number 1
loop_
_space_group_symop_operation_xyz
'x,y,z'
loop_
_atom_site_label
_atom_site_type_symbol
_atom_site_fract_x
_atom_site_fract_y
_atom_site_fract_z
Co1 Co 0.500 0.500 0.000
Bi1 Bi 0.750 0.250 0.500
Bi2 Bi 0.000 0.000 0.000
Co2 Co 0.250 0.750 0.500
Zn1 Zn 0.208 0.625 0.250
Zn2 Zn 0.542 0.125 0.250
Zn3 Zn 0.375 0.458 0.750
Zn4 Zn 0.875 0.792 0.750
# **Calculated total energy**: -24.3 eV per cell
# **M_tot**: 0.27 μB/atom
# **DOS at the Fermi energy**: 7.5 states/eV/cell
# **Calculated volume**: 19.06 Å³/atom
# **Formation energy**: 33.5 kJ/mol of atoms

# ZnGa2Re2 PBE relaxed
data_ZnGa2Re2
_chemical_formula_sum 'Zn2 Ga4 Re4'
_cell_length_a 6.549
_cell_length_b 6.549
_cell_length_c 3.471
_cell_angle_alpha 90.00
_cell_angle_beta 90.00
_cell_angle_gamma 90.00
_space_group_name_H-M_alt 'P 1'
_space_group_IT_number 1
loop_
_space_group_symop_operation_xyz
'x,y,z'
loop_
_atom_site_label
_atom_site_type_symbol
_atom_site_fract_x
_atom_site_fract_y
_atom_site_fract_z
Ga1 Ga 0.635 0.135 0.000
Re1 Re 0.833 0.333 0.500
Zn1 Zn 0.500 0.500 0.000
Re2 Re 0.667 0.833 0.500
Ga2 Ga 0.135 0.365 0.000
Re3 Re 0.167 0.667 0.500
Re4 Re 0.333 0.167 0.500
Zn2 Zn 0.000 0.000 0.000
Ga3 Ga 0.865 0.635 0.000
Ga4 Ga 0.365 0.865 0.000
# **Calculated total energy**: -60.8 eV per cell
# **ΔE to the lowest computed polymorph**: 0.1023 eV/atom
# **M_tot**: 0.00 μB/atom
# **DOS at the Fermi energy**: 0.8 states/eV/cell
# **Calculated volume**: 14.89 Å³/atom
# **Formation energy**: 35.5 kJ/mol of atoms

# NaScTi2 PBE relaxed
data_NaScTi2
_chemical_formula_sum 'Na2 Sc2 Ti4'
_cell_length_a 4.039
_cell_length_b 4.039
_cell_length_c 11.018
_cell_angle_alpha 79.44
_cell_angle_beta 79.44
_cell_angle_gamma 90.00
_space_group_name_H-M_alt 'P 1'
_space_group_IT_number 1
loop_
_space_group_symop_operation_xyz
'x,y,z'
loop_
_atom_site_label
_atom_site_type_symbol
_atom_site_fract_x
_atom_site_fract_y
_atom_site_fract_z
Sc1 Sc 0.000 0.000 0.000
Sc2 Sc 0.750 0.250 0.500
Na1 Na 0.500 0.500 0.000
Ti1 Ti 0.635 0.625 0.250
Ti2 Ti 0.115 0.125 0.250
Na2 Na 0.250 0.750 0.500
Ti3 Ti 0.375 0.885 0.750
Ti4 Ti 0.875 0.365 0.750
# **Calculated total energy**: -40.6 eV per cell
# **ΔE to the lowest computed polymorph**: 0.0257 eV/atom
# **M_tot**: 0.92 μB/atom
# **DOS at the Fermi energy**: 7.9 states/eV/cell
# **Calculated volume**: 21.70 Å³/atom
# **Formation energy**: 76.3 kJ/mol of atoms